Version one
DFT (PBE) results for a relaxed UNbB crystal.

Geometry as CIF:
```
data_UNbB
_space_group_name_H-M_alt 'P 1'
_space_group_IT_number 1
_cell_length_a 5.383
_cell_length_b 5.383
_cell_length_c 5.383
_cell_angle_alpha 146.78
_cell_angle_beta 146.78
_cell_angle_gamma 47.69
loop_
_space_group_symop_operation_xyz
'x,y,z'
loop_
_atom_site_label
_atom_site_type_symbol
_atom_site_fract_x
_atom_site_fract_y
_atom_site_fract_z
U1 U 0.000 0.000 0.000
Nb1 Nb 0.729 0.729 0.000
B1 B 0.330 0.330 0.000
```

Output
The value obtained for the density of states at the Fermi level is 3.11 states/eV/f.u. As for the space-group type: I4mm, No. 107.

---

Version two
DFT (PBE) results for a relaxed UNbB crystal.

Geometry as CIF:
```
data_UNbB
_space_group_name_H-M_alt 'P 1'
_space_group_IT_number 1
_cell_length_a 6.171
_cell_length_b 5.252
_cell_length_c 4.716
_cell_angle_alpha 76.29
_cell_angle_beta 55.77
_cell_angle_gamma 47.94
loop_
_space_group_symop_operation_xyz
'x,y,z'
loop_
_atom_site_label
_atom_site_type_symbol
_atom_site_fract_x
_atom_site_fract_y
_atom_site_fract_z
U1 U 0.171 0.829 0.171
U2 U 0.829 0.171 0.829
Nb1 Nb 0.331 0.331 0.669
Nb2 Nb 0.669 0.669 0.331
B1 B 0.250 0.250 0.250
B2 B 0.750 0.750 0.750
```

Output
The value obtained for the density of states at the Fermi level is 5.14 states/eV/f.u. As for the space-group type: Fmmm, No. 69.

---

Most stable structure: version two